Entry from Alexandria: a relaxed Cs3HfTe crystal (GGA-PBE).

Values from the calculation:
**Formation energy (no corrections)**: 565 meV per atom

abc: 7.326 7.326 7.326
angles: 90.00 90.00 90.00
Space group Pm-3m (No. 221)
Inequivalent atoms, fractional coordinates:
Cs  0.000  0.000  0.500 x3
Hf  0.500  0.500  0.500 x1
Te  0.000  0.000  0.000 x1